# 1
A plane-wave DFT calculation with PBE was carried out for an optimized crystal structure of Ca2LaPb.

For the calculated density, the calculation gives 5.08 g cm⁻³. The crystal system is tetragonal. The energy relative to the elements comes out at -5.4 kcal/mol of atoms.

It has space group P4/mmm (No. 123), with a = 3.7401 Å, b = 3.7401 Å, c = 9.9653 Å, α = 90.00°, β = 90.00° and γ = 90.00°. Symmetry generates all atoms from Ca at (0.0000, 0.0000, 0.2075), La at (0.5000, 0.5000, 0.5000) and Pb at (0.5000, 0.5000, 0.0000).

***

# 2
A plane-wave DFT calculation with PBE was carried out for an optimized crystal structure of BaHgRh2.

For the calculated density, the calculation gives 9.80 g cm⁻³. The crystal system is monoclinic. The energy relative to the elements comes out at 5.6 kcal/mol of atoms.

It has space group P2/m (No. 10), with a = 3.1919 Å, b = 4.7163 Å, c = 6.1844 Å, α = 90.00°, β = 98.40° and γ = 90.00°. Symmetry generates all atoms from Ba at (0.0000, 0.0000, 0.0000), Hg at (0.5000, 0.0000, 0.5000) and Rh at (0.2900, 0.5000, 0.6797).

***

# 3
A plane-wave DFT calculation with PBE was carried out for an optimized crystal structure of LaCr2Ru.

For the calculated density, the calculation gives 8.13 g cm⁻³. The relative energy among the computed polymorphs comes out at 0.00 kcal/mol of atoms. The crystal system is tetragonal. The energy relative to the elements comes out at 7.2 kcal/mol of atoms.

It has space group P4mm (No. 99), with a = 3.0336 Å, b = 3.0336 Å, c = 7.6375 Å, α = 90.00°, β = 90.00° and γ = 90.00°. Symmetry generates all atoms from La at (0.0000, 0.0000, 0.0000), Cr at (0.0000, 0.0000, 0.4866), Cr at (0.5000, 0.5000, 0.6669) and Ru at (0.5000, 0.5000, 0.3049).

***

# 4
A plane-wave DFT calculation with PBE was carried out for an optimized crystal structure of P2HIrAu.

For the calculated density, the calculation gives 8.97 g cm⁻³. The relative energy among the computed polymorphs comes out at 2.76 kcal/mol of atoms. The crystal system is triclinic.

It has space group P1 (No. 1), with a = 3.6304 Å, b = 4.7732 Å, c = 5.6077 Å, α = 65.09°, β = 88.65° and γ = 72.86°. Symmetry generates all atoms from P at (0.0000, 0.0000, 0.0000), P at (0.4499, 0.5324, 0.1166), H at (0.7889, 0.9009, 0.2243), Ir at (0.9524, 0.5343, 0.8747) and Au at (0.6294, 0.2368, 0.5742).

***

# 5
A plane-wave DFT calculation with PBE was carried out for an optimized crystal structure of K2PaMo2N6.

For the calculated density, the calculation gives 4.65 g cm⁻³. The crystal system is monoclinic. The uncorrected formation energy comes out at -0.4834 eV/atom.

It has space group C2/m (No. 12), with a = 10.7814 Å, b = 6.2155 Å, c = 7.3042 Å, α = 90.00°, β = 121.33° and γ = 90.00°. Symmetry generates all atoms from K at (0.2086, 0.0000, 0.1670), Pa at (0.0000, 0.0000, 0.5000), Mo at (0.0564, 0.5000, 0.2208), N at (0.0171, 0.2515, 0.7366) and N at (0.2468, 0.0000, 0.6603).

***

# 6
A plane-wave DFT calculation with PBE was carried out for an optimized crystal structure of La2Co2Ag.

For the calculated density, the calculation gives 7.75 g cm⁻³. The relative energy among the computed polymorphs comes out at 1.87 kcal/mol of atoms. The crystal system is tetragonal. The energy relative to the elements comes out at -1.8 kcal/mol of atoms.

It has space group P4/mbm (No. 127), with a = 7.3705 Å, b = 7.3705 Å, c = 3.9715 Å, α = 90.00°, β = 90.00° and γ = 90.00°. Symmetry generates all atoms from La at (0.1818, 0.3182, 0.0000), Co at (0.1092, 0.6092, 0.5000) and Ag at (0.0000, 0.0000, 0.5000).

***

# 7
A plane-wave DFT calculation with PBE was carried out for an optimized crystal structure of RbAlN2.

For the calculated density, the calculation gives 3.39 g cm⁻³. The crystal system is tetragonal. The uncorrected formation energy comes out at -0.0400 eV/atom.

It has space group I4_1/amd (No. 141, origin choice 2), with a = 5.0451 Å, b = 5.0451 Å, c = 10.8233 Å, α = 90.00°, β = 90.00° and γ = 90.00°. Symmetry generates all atoms from Rb at (0.0000, 0.2500, 0.3750), Al at (0.0000, 0.2500, 0.8750) and N at (0.0000, 0.0000, 0.0000).

***

# 8
A plane-wave DFT calculation with PBE was carried out for an optimized crystal structure of HfBi2.

For the calculated density, the calculation gives 12.10 g cm⁻³. The crystal system is orthorhombic. The energy relative to the elements comes out at -2.8 kcal/mol of atoms.

It has space group Pnnm (No. 58), with a = 10.2859 Å, b = 15.7216 Å, c = 4.0503 Å, α = 90.00°, β = 90.00° and γ = 90.00°. Symmetry generates all atoms from Hf at (0.0232, 0.2463, 0.0000), Hf at (0.1600, 0.5048, 0.0000), Bi at (0.0141, 0.3924, 0.5000), Bi at (0.1255, 0.0560, 0.0000), Bi at (0.1540, 0.8507, 0.5000) and Bi at (0.2360, 0.1995, 0.5000).

***

# 9
A plane-wave DFT calculation with PBE was carried out for an optimized crystal structure of PmPrTh2Sb4.

For the calculated density, the calculation gives 7.89 g cm⁻³. The crystal system is monoclinic. The uncorrected formation energy comes out at -1.0612 eV/atom.

It has space group P2/m (No. 10), with a = 7.8143 Å, b = 4.5208 Å, c = 7.8267 Å, α = 90.00°, β = 109.58° and γ = 90.00°. Symmetry generates all atoms from Pm at (0.0000, 0.0000, 0.0000), Pr at (0.0000, 0.5000, 0.5000), Th at (0.5000, 0.0000, 0.5000), Th at (0.5000, 0.5000, 0.0000), Sb at (0.2506, 0.5000, 0.2486) and Sb at (0.2520, 0.0000, 0.7523).

***

# 10
A plane-wave DFT calculation with PBE was carried out for an optimized crystal structure of Tb2Nd6SmEr.

For the calculated density, the calculation gives 7.27 g cm⁻³. The crystal system is monoclinic. The energy relative to the elements comes out at 2.6 kcal/mol of atoms.

It has space group C2/c (No. 15), with a = 9.2828 Å, b = 15.3599 Å, c = 9.7067 Å, α = 90.00°, β = 97.49° and γ = 90.00°. Symmetry generates all atoms from Tb at (0.2504, 0.0493, 0.0458), Nd at (0.0617, 0.1797, 0.4455), Nd at (0.0990, 0.3917, 0.6182), Nd at (0.2125, 0.2222, 0.8122), Sm at (0.0000, 0.0257, 0.7500) and Er at (0.0000, 0.4109, 0.2500).

***

# 11
A plane-wave DFT calculation with PBE was carried out for an optimized crystal structure of LaSbPS2.

For the calculated density, the calculation gives 4.69 g cm⁻³. The relative energy among the computed polymorphs comes out at 0.00 kcal/mol of atoms. The crystal system is tetragonal. The uncorrected formation energy comes out at -0.4660 eV/atom.

It has space group P4/mmm (No. 123), with a = 4.9830 Å, b = 4.9830 Å, c = 5.0701 Å, α = 90.00°, β = 90.00° and γ = 90.00°. Symmetry generates all atoms from La at (0.0000, 0.0000, 0.0000), Sb at (0.5000, 0.5000, 0.5000), P at (0.5000, 0.5000, 0.0000) and S at (0.0000, 0.5000, 0.5000).

***

# 12
A plane-wave DFT calculation with PBE was carried out for an optimized crystal structure of GaHgTeN2.

For the calculated density, the calculation gives 5.88 g cm⁻³. The relative energy among the computed polymorphs comes out at 12.29 kcal/mol of atoms. The crystal system is tetragonal. The uncorrected formation energy comes out at 1.7198 eV/atom.

It has space group P4/mmm (No. 123), with a = 4.3026 Å, b = 4.3026 Å, c = 6.4958 Å, α = 90.00°, β = 90.00° and γ = 90.00°. Symmetry generates all atoms from Ga at (0.0000, 0.0000, 0.0000), Hg at (0.5000, 0.5000, 0.5000), Te at (0.5000, 0.5000, 0.0000) and N at (0.0000, 0.5000, 0.5000).

***

Asked for magnetic moment across the records above, the calculation gives 0.000 0.000 0.546 0.000 0.000 0.168 0.092 0.000 0.000 0.001 0.000 0.718 μB per atom in order.